No. 1
Here is crystalline YSiNi3 at its relaxed geometry from the Alexandria database. Energies are from PBE.

Formation energy from raw total energies in eV per atom: -0.42
SG: P6_3/mmc, No. 194

a b c (Å): 5.700 5.700 10.878
angles (deg): 90.00 90.00 120.00
Atoms (fractional coordinates):
Y 0.333 0.667 0.250
Y 0.667 0.333 0.750
Y 0.000 0.000 0.500
Y 0.000 0.000 0.000
Si 0.667 0.333 0.139
Si 0.333 0.667 0.639
Si 0.333 0.667 0.861
Si 0.667 0.333 0.361
Ni 0.138 0.277 0.750
Ni 0.277 0.138 0.250
Ni 0.862 0.138 0.250
Ni 0.138 0.862 0.750
Ni 0.723 0.862 0.750
Ni 0.862 0.723 0.250
Ni 0.500 0.500 0.500
Ni 0.500 0.000 0.000
Ni 0.500 0.500 0.000
Ni 0.500 0.000 0.500
Ni 0.000 0.500 0.500
Ni 0.000 0.500 0.000


No. 2
Here is crystalline Tb4DyS6 at its relaxed geometry from the Alexandria database. Energies are from PBE.

Formation energy from raw total energies in eV per atom: -2.04
SG: Cmcm, No. 63

a b c (Å): 3.838 6.744 19.893
angles (deg): 90.00 90.00 106.53
Atoms (fractional coordinates):
Tb 0.861 0.722 0.540
Tb 0.409 0.818 0.128
Tb 0.139 0.278 0.460
Tb 0.591 0.182 0.872
Tb 0.861 0.722 0.960
Tb 0.139 0.278 0.040
Tb 0.591 0.182 0.628
Tb 0.409 0.818 0.372
Dy 0.652 0.304 0.250
Dy 0.348 0.696 0.750
S 0.500 0.000 0.000
S 0.500 0.000 0.500
S 0.052 0.103 0.332
S 0.948 0.897 0.668
S 0.948 0.897 0.832
S 0.052 0.103 0.168
S 0.770 0.540 0.411
S 0.230 0.460 0.589
S 0.230 0.460 0.911
S 0.770 0.540 0.089
S 0.305 0.609 0.250
S 0.695 0.391 0.750


No. 3
Here is crystalline Sr2PmIn3 at its relaxed geometry from the Alexandria database. Energies are from PBE.

Formation energy in kcal/mol of atoms: -10.059
SG: Cmmm, No. 65

a b c (Å): 5.626 8.918 8.034
angles (deg): 90.00 90.00 71.61
Atoms (fractional coordinates):
Sr 0.000 0.000 0.000
Sr 0.000 0.000 0.500
Sr 0.335 0.330 0.500
Sr 0.665 0.670 0.500
Pm 0.338 0.324 0.000
Pm 0.662 0.676 0.000
In 0.827 0.345 0.768
In 0.500 0.000 0.240
In 0.173 0.655 0.232
In 0.827 0.345 0.232
In 0.173 0.655 0.768
In 0.500 0.000 0.760


No. 4
Here is crystalline NpSi4Pt12 at its relaxed geometry from the Alexandria database. Energies are from PBE.

Formation energy from raw total energies in eV per atom: -0.37
SG: Im-3, No. 204

a b c (Å): 7.284 7.284 7.284
angles (deg): 109.47 109.47 109.47
Atoms (fractional coordinates):
Np 0.000 0.000 0.000
Si 0.000 0.500 0.000
Si 0.500 0.000 0.000
Si 0.500 0.500 0.500
Si 0.000 0.000 0.500
Pt 0.839 0.340 0.179
Pt 0.340 0.501 0.161
Pt 0.821 0.161 0.660
Pt 0.340 0.179 0.839
Pt 0.179 0.839 0.340
Pt 0.660 0.499 0.839
Pt 0.501 0.161 0.340
Pt 0.499 0.839 0.660
Pt 0.660 0.821 0.161
Pt 0.839 0.660 0.499
Pt 0.161 0.340 0.501
Pt 0.161 0.660 0.821


No. 5
Here is crystalline Ba3NO at its relaxed geometry from the Alexandria database. Energies are from PBE.

Formation energy from raw total energies in eV per atom: -1.17
SG: P2_1/m, No. 11

a b c (Å): 4.120 7.000 12.056
angles (deg): 93.39 90.00 90.00
Atoms (fractional coordinates):
Ba 0.750 0.792 0.926
Ba 0.250 0.208 0.074
Ba 0.750 0.273 0.342
Ba 0.250 0.727 0.658
Ba 0.750 0.214 0.750
Ba 0.250 0.786 0.250
N 0.750 0.007 0.168
N 0.250 0.993 0.832
O 0.750 0.579 0.741
O 0.250 0.421 0.259


No. 6
Here is crystalline KNbSi2O7 at its relaxed geometry from the Alexandria database. Energies are from PBE.

Formation energy from raw total energies in eV per atom: -2.67
SG: P4bm, No. 100

a b c (Å): 8.876 8.876 8.286
angles (deg): 90.00 90.00 90.00
Atoms (fractional coordinates):
K 0.179 0.679 0.991
K 0.679 0.821 0.991
K 0.821 0.321 0.991
K 0.321 0.179 0.991
Nb 0.500 0.500 0.720
Nb 0.500 0.500 0.218
Nb 0.000 0.000 0.720
Nb 0.000 0.000 0.218
Si 0.124 0.376 0.693
Si 0.876 0.624 0.303
Si 0.376 0.876 0.303
Si 0.624 0.124 0.303
Si 0.624 0.124 0.693
Si 0.376 0.876 0.693
Si 0.876 0.624 0.693
Si 0.124 0.376 0.303
O 0.424 0.712 0.762
O 0.923 0.787 0.233
O 0.076 0.212 0.762
O 0.288 0.424 0.762
O 0.577 0.287 0.233
O 0.788 0.076 0.762
O 0.287 0.423 0.233
O 0.620 0.120 0.498
O 0.787 0.077 0.233
O 0.120 0.380 0.498
O 0.000 0.500 0.764
O 0.000 0.500 0.232
O 0.380 0.880 0.498
O 0.500 0.000 0.764
O 0.880 0.620 0.498
O 0.924 0.788 0.762
O 0.077 0.213 0.233
O 0.423 0.713 0.233
O 0.213 0.923 0.233
O 0.500 0.000 0.232
O 0.500 0.500 0.502
O 0.500 0.500 0.999
O 0.713 0.577 0.233
O 0.212 0.924 0.762
O 0.000 0.000 0.502
O 0.712 0.576 0.762
O 0.000 0.000 0.999
O 0.576 0.288 0.762


No. 7
Here is crystalline DyTePt at its relaxed geometry from the Alexandria database. Energies are from PBE.

Formation energy from raw total energies in eV per atom: -0.81
SG: P4_2/m, No. 84

a b c (Å): 4.535 8.652 8.652
angles (deg): 90.00 90.00 90.00
Atoms (fractional coordinates):
Pt 0.500 0.814 0.298
Pt 0.500 0.186 0.702
Pt 0.000 0.298 0.186
Pt 0.000 0.702 0.814
Dy 0.500 0.788 0.613
Dy 0.000 0.387 0.788
Dy 0.000 0.613 0.212
Dy 0.500 0.212 0.387
Te 0.500 0.282 0.018
Te 0.000 0.982 0.282
Te 0.000 0.018 0.718
Te 0.500 0.718 0.982


No. 8
Here is crystalline LiOs2Cl at its relaxed geometry from the Alexandria database. Energies are from PBE.

Formation energy from raw total energies in eV per atom: 0.21
SG: Immm, No. 71

a b c (Å): 8.069 8.069 8.069
angles (deg): 159.57 154.60 32.81
Atoms (fractional coordinates):
Cl 0.250 0.750 0.500
Li 0.750 0.250 0.500
Os 0.034 0.034 0.000
Os 0.466 0.466 0.000


No. 9
Here is crystalline CaNd2Co2 at its relaxed geometry from the Alexandria database. Energies are from PBE.

Formation energy in kcal/mol of atoms: 2.121
SG: C2/m, No. 12

a b c (Å): 3.929 5.283 6.461
angles (deg): 97.71 107.70 90.00
Atoms (fractional coordinates):
Ca 0.000 0.000 0.000
Nd 0.359 0.447 0.718
Nd 0.641 0.553 0.282
Co 0.736 0.088 0.472
Co 0.264 0.912 0.528


No. 10
Here is crystalline Tb6Sm3Y2Sc at its relaxed geometry from the Alexandria database. Energies are from PBE.

Formation energy in kcal/mol of atoms: 0.618
SG: C2/m, No. 12

a b c (Å): 6.161 6.161 11.775
angles (deg): 94.99 94.99 119.98
Atoms (fractional coordinates):
Tb 0.919 0.588 0.754
Tb 0.751 0.751 0.246
Tb 0.081 0.412 0.246
Tb 0.588 0.919 0.754
Tb 0.249 0.249 0.754
Tb 0.412 0.081 0.246
Sm 0.167 0.833 0.500
Sm 0.833 0.167 0.500
Sm 0.500 0.500 0.500
Y 0.334 0.666 0.000
Y 0.666 0.334 0.000
Sc 0.000 0.000 0.000


No. 11
Here is crystalline SrTi2I at its relaxed geometry from the Alexandria database. Energies are from PBE.

Formation energy from raw total energies in eV per atom: 0.83
SG: Fm-3m, No. 225

a b c (Å): 5.101 5.101 5.101
angles (deg): 60.00 60.00 60.00
Atoms (fractional coordinates):
I 0.500 0.500 0.500
Sr 0.000 0.000 0.000
Ti 0.250 0.250 0.250
Ti 0.750 0.750 0.750


No. 12
Here is crystalline TaTe4Au at its relaxed geometry from the Alexandria database. Energies are from PBE.

Formation energy from raw total energies in eV per atom: 0.10
SG: I-4, No. 82

a b c (Å): 6.716 6.715 6.716
angles (deg): 113.08 113.08 102.47
Atoms (fractional coordinates):
Ta 0.750 0.250 0.500
Te 0.134 0.214 0.499
Te 0.715 0.635 0.501
Te 0.365 0.866 0.080
Te 0.786 0.285 0.920
Au 0.500 0.500 0.000


No. 13
Here is crystalline CrAgSe2 at its relaxed geometry from the Alexandria database. Energies are from PBE.

Formation energy from raw total energies in eV per atom: -0.15
SG: Cm, No. 8

a b c (Å): 7.005 7.005 3.635
angles (deg): 90.11 90.11 27.98
Atoms (fractional coordinates):
Ag 0.466 0.466 0.372
Cr 0.700 0.700 0.877
Se 0.060 0.060 0.874
Se 0.274 0.274 0.377


No. 14
Here is crystalline RbTl3Rh at its relaxed geometry from the Alexandria database. Energies are from PBE.

Formation energy in kcal/mol of atoms: 0.615
SG: Pmmn, No. 59

a b c (Å): 4.360 8.051 9.327
angles (deg): 90.00 90.00 90.00
Atoms (fractional coordinates):
Tl 0.750 0.958 0.127
Tl 0.250 0.042 0.873
Tl 0.750 0.542 0.127
Tl 0.250 0.458 0.873
Tl 0.750 0.250 0.665
Tl 0.250 0.750 0.335
Rh 0.750 0.250 0.969
Rh 0.250 0.750 0.031
Rb 0.250 0.250 0.332
Rb 0.750 0.750 0.668


No. 15
Here is crystalline TcAg2Ru at its relaxed geometry from the Alexandria database. Energies are from PBE.

Formation energy in kcal/mol of atoms: 20.141
SG: P4/mmm, No. 123

a b c (Å): 4.958 4.958 2.653
angles (deg): 90.00 90.00 90.00
Atoms (fractional coordinates):
Ag 0.000 0.000 0.000
Ag 0.500 0.500 0.000
Ru 0.500 0.000 0.500
Tc 0.000 0.500 0.500


No. 16
Here is crystalline Sm2CoGe3 at its relaxed geometry from the Alexandria database. Energies are from PBE.

Formation energy in kcal/mol of atoms: -15.819
SG: Fmmm, No. 69

a b c (Å): 5.880 5.880 8.301
angles (deg): 110.61 110.61 90.34
Atoms (fractional coordinates):
Sm 0.250 0.750 0.500
Sm 0.750 0.750 0.000
Sm 0.750 0.250 0.500
Sm 0.250 0.250 0.000
Co 0.666 0.666 0.332
Co 0.334 0.334 0.668
Ge 0.348 0.826 0.174
Ge 0.174 0.652 0.826
Ge 0.652 0.174 0.826
Ge 0.826 0.348 0.174
Ge 0.174 0.174 0.348
Ge 0.826 0.826 0.652


No. 17
Here is crystalline Pb2OF2 at its relaxed geometry from the Alexandria database. Energies are from PBE.

Formation energy from raw total energies in eV per atom: -1.78
SG: Cmc2_1, No. 36

a b c (Å): 3.478 6.569 8.382
angles (deg): 90.00 90.00 105.35
Atoms (fractional coordinates):
Pb 0.234 0.467 0.115
Pb 0.005 0.010 0.890
Pb 0.766 0.533 0.615
Pb 0.995 0.990 0.390
O 0.605 0.210 0.997
O 0.395 0.790 0.497
F 0.887 0.773 0.132
F 0.312 0.623 0.851
F 0.113 0.227 0.632
F 0.688 0.377 0.351


No. 18
Here is crystalline La2YPt at its relaxed geometry from the Alexandria database. Energies are from PBE.

Formation energy in kcal/mol of atoms: -11.045
SG: P2/m, No. 10

a b c (Å): 4.184 4.528 7.125
angles (deg): 64.62 90.00 90.00
Atoms (fractional coordinates):
La 0.000 0.078 0.037
La 0.000 0.422 0.463
Pt 0.500 0.250 0.250
Y 0.500 0.750 0.750


No. 19
Here is crystalline ScAl2Os at its relaxed geometry from the Alexandria database. Energies are from PBE.

Formation energy in kcal/mol of atoms: -8.700
SG: C2/m, No. 12

a b c (Å): 4.721 4.721 4.882
angles (deg): 77.45 77.45 39.15
Atoms (fractional coordinates):
Sc 0.750 0.750 0.750
Os 0.250 0.250 0.250
Al 0.982 0.982 0.046
Al 0.518 0.518 0.454


No. 20
Here is crystalline NdY4Ge4 at its relaxed geometry from the Alexandria database. Energies are from PBE.

Formation energy in kcal/mol of atoms: -14.023
SG: P4_2/n, No. 86

a b c (Å): 5.812 9.315 9.315
angles (deg): 90.00 90.00 90.00
Atoms (fractional coordinates):
Nd 0.000 0.000 0.000
Nd 0.500 0.500 0.500
Y 0.388 0.339 0.898
Y 0.888 0.602 0.839
Y 0.388 0.661 0.102
Y 0.112 0.161 0.602
Y 0.612 0.898 0.661
Y 0.112 0.839 0.398
Y 0.888 0.398 0.161
Y 0.612 0.102 0.339
Ge 0.608 0.787 0.360
Ge 0.608 0.213 0.640
Ge 0.108 0.860 0.713
Ge 0.892 0.287 0.860
Ge 0.892 0.713 0.140
Ge 0.392 0.360 0.213
Ge 0.392 0.640 0.787
Ge 0.108 0.140 0.287


No. 21
Here is crystalline KInSnAu2 at its relaxed geometry from the Alexandria database. Energies are from PBE.

Formation energy in kcal/mol of atoms: -6.345
SG: I-4m2, No. 119

a b c (Å): 4.854 4.854 6.700
angles (deg): 111.24 111.24 90.00
Atoms (fractional coordinates):
K 0.000 0.000 0.000
In 0.750 0.250 0.500
Sn 0.250 0.750 0.500
Au 0.622 0.622 0.244
Au 0.378 0.378 0.756